[1]
VASP calculation (PBE) on a relaxed structure of HfPI.

a b c (Å): 3.5958 3.7386 11.9338
angles (deg): 90.32 90.14 90.00
Closest atoms and distances in Å follow each position.
Space group P-1 (No. 2)
Asymmetric unit:
1 Hf 0.2487 0.2457 0.3587 x2  5 P 2.67-2.69, 2 I 2.94
2 P 0.2508 0.2533 0.5824 x2  5 Hf 2.67-2.69
3 I 0.2529 0.7572 0.8362 x2  2 Hf 2.94

ΔE_f (raw)   -0.89 eV per atom
Spin magnetization   0.0 μB/f.u.
Energy   -6.53 eV/atom

---

[2]
VASP calculation (PBE) on a relaxed structure of Sr3Li6In5.

a b c (Å): 5.0058 9.7675 14.7755
angles (deg): 90.00 90.00 90.00
Closest atoms and distances in Å follow each position.
Space group Immm (No. 71)
Asymmetric unit:
1 Sr 0.0000 0.0000 0.0000 x2  4 Li 3.49, 8 In 3.77
2 Sr 0.0000 0.0000 0.2994 x4  8 Li 3.37-3.71, 6 In 3.46-3.54
3 Li 0.0000 0.1822 0.5000 x4  4 In 2.90-3.07, 4 Li 3.24
4 Li 0.0000 0.2902 0.1376 x8  4 In 2.87-3.01
5 In 0.0000 0.3494 0.3376 x8  4 Li 2.87-3.01, 1 In 2.94
6 In 0.0000 0.5000 0.0000 x2  8 Li 2.89-3.07

Spin magnetization   0.0 μB/f.u.
Energy   -2.45 eV/atom

---

[3]
VASP calculation (PBE) on a relaxed structure of Sr3Ca2SmTe6.

a b c (Å): 20.1320 4.5964 9.2570
angles (deg): 90.00 103.49 90.00
Closest atoms and distances in Å follow each position.
Space group C2/m (No. 12)
Asymmetric unit:
1 Sr 0.0000 0.0000 0.0000 x2  6 Te 3.31-3.33
2 Sr 0.1669 0.5000 0.3319 x4  6 Te 3.31-3.34
3 Ca 0.1672 0.5000 0.8343 x4  6 Te 3.20-3.22
4 Sm 0.0000 0.0000 0.5000 x2  6 Te 3.18-3.19
5 Te 0.0028 0.5000 0.7411 x4  2 Sm 3.19, 1 Ca 3.22, 3 Sr 3.33
6 Te 0.1626 0.0000 0.5892 x4  1 Sm 3.18, 2 Ca 3.22, 3 Sr 3.33-3.34
7 Te 0.1692 0.0000 0.0754 x4  3 Ca 3.20, 3 Sr 3.31

ΔE_f (raw)   -1.63 eV per atom
Spin magnetization   0.0 μB/f.u.
Energy   -4.35 eV/atom